No. 1
Crystalline TbPmCuAg at its relaxed geometry, computed with PBE-GGA.

E above lowest polymorph in meV/atom: 0.0
Energy of formation from the pure elements in kJ/mol of atoms: -23.86

Structure (POSCAR):
```
TbPmCuAg
1.0
3.594 0.000 0.000
0.000 3.594 0.000
0.000 0.000 7.281
Tb Pm Cu Ag
1 1 1 1
direct
0.000 0.000 0.000
0.000 0.000 0.527
0.500 0.500 0.776
0.500 0.500 0.251
```

---

No. 2
Crystalline PmCuAg2Te4 at its relaxed geometry, computed with PBE-GGA.

ΔE_f (raw) in kJ/mol of atoms: -37.4

Structure (POSCAR):
```
PmCuAg2Te4
1.0
2.139 -7.409 0.000
2.139 7.409 0.000
0.000 0.000 13.766
Pm Cu Ag Te
2 2 4 8
direct
0.099 0.901 0.750
0.901 0.099 0.250
0.161 0.839 0.250
0.839 0.161 0.750
0.372 0.628 0.562
0.372 0.628 0.938
0.628 0.372 0.062
0.628 0.372 0.438
0.000 0.000 0.000
0.000 0.000 0.500
0.294 0.706 0.123
0.294 0.706 0.377
0.440 0.560 0.750
0.560 0.440 0.250
0.706 0.294 0.623
0.706 0.294 0.877
```

---

No. 3
Crystalline PmYCuAg at its relaxed geometry, computed with PBE-GGA.

E above lowest polymorph in meV/atom: 24.9
Energy of formation from the pure elements in kJ/mol of atoms: -21.75

Structure (POSCAR):
```
PmYCuAg
1.0
0.000 3.620 3.620
3.620 0.000 3.620
3.620 3.620 0.000
Pm Y Cu Ag
1 1 1 1
direct
0.000 0.000 0.000
0.500 0.500 0.500
0.750 0.750 0.750
0.250 0.250 0.250
```

---

No. 4
Crystalline PmYCuAg at its relaxed geometry, computed with PBE-GGA.

E above lowest polymorph in meV/atom: 0.0
Energy of formation from the pure elements in kJ/mol of atoms: -24.16

Structure (POSCAR):
```
PmYCuAg
1.0
3.591 0.000 0.000
0.000 3.591 0.000
0.000 0.000 7.286
Pm Y Cu Ag
1 1 1 1
direct
0.000 0.000 0.000
0.000 0.000 0.473
0.500 0.500 0.248
0.500 0.500 0.724
```

---

No. 5
Crystalline Pm4ZnCuAg2 at its relaxed geometry, computed with PBE-GGA.

Energy of formation from the pure elements in kJ/mol of atoms: -23.45

Structure (POSCAR):
```
Pm4ZnCuAg2
1.0
2.605 1.504 8.498
-2.605 1.504 8.498
0.000 -3.008 8.498
Pm Zn Cu Ag
4 1 1 2
direct
0.123 0.123 0.123
0.373 0.373 0.373
0.627 0.627 0.627
0.877 0.877 0.877
0.500 0.500 0.500
0.000 0.000 0.000
0.247 0.247 0.247
0.753 0.753 0.753
```

---

No. 6
Crystalline Pm2Zn4Cu3Ag at its relaxed geometry, computed with PBE-GGA.

Energy of formation from the pure elements in kJ/mol of atoms: -21.07

Structure (POSCAR):
```
Pm2Zn4Cu3Ag
1.0
4.033 0.000 0.000
0.000 4.033 0.000
0.000 0.000 11.362
Pm Zn Cu Ag
2 4 3 1
direct
0.000 0.500 0.240
0.500 0.000 0.760
0.000 0.000 0.000
0.000 0.500 0.645
0.500 0.000 0.355
0.500 0.500 0.000
0.000 0.500 0.863
0.500 0.000 0.137
0.500 0.500 0.500
0.000 0.000 0.500
```

---

No. 7
Crystalline PmZrCuAg at its relaxed geometry, computed with PBE-GGA.

Energy of formation from the pure elements in kJ/mol of atoms: -1.21

Structure (POSCAR):
```
PmZrCuAg
1.0
0.000 3.518 3.518
3.518 0.000 3.518
3.518 3.518 0.000
Pm Zr Cu Ag
1 1 1 1
direct
0.000 0.000 0.000
0.500 0.500 0.500
0.750 0.750 0.750
0.250 0.250 0.250
```

---

No. 8
Crystalline Pr4CuAg3 at its relaxed geometry, computed with PBE-GGA.

E above lowest polymorph in meV/atom: 3.6
Energy of formation from the pure elements in kJ/mol of atoms: -20.12

Structure (POSCAR):
```
Pr4CuAg3
1.0
3.998 0.000 0.000
0.000 4.860 0.000
0.000 0.000 11.185
Pr Cu Ag
4 1 3
direct
0.000 0.000 0.000
0.000 0.500 0.275
0.500 0.000 0.482
0.500 0.500 0.779
0.500 0.000 0.205
0.000 0.000 0.709
0.000 0.500 0.558
0.500 0.500 0.064
```

---

No. 9
Crystalline Pr4CuAg3 at its relaxed geometry, computed with PBE-GGA.

E above lowest polymorph in meV/atom: 0.0
Energy of formation from the pure elements in kJ/mol of atoms: -20.46

Structure (POSCAR):
```
Pr4CuAg3
1.0
3.734 0.000 0.000
0.000 3.734 0.000
0.000 0.000 15.082
Pr Cu Ag
4 1 3
direct
0.000 0.000 0.115
0.000 0.000 0.372
0.000 0.000 0.628
0.000 0.000 0.885
0.500 0.500 0.000
0.500 0.500 0.245
0.500 0.500 0.500
0.500 0.500 0.755
```

---

No. 10
Crystalline Pr3Cu2Ag4 at its relaxed geometry, computed with PBE-GGA.

Energy of formation from the pure elements in kJ/mol of atoms: -20.88

Structure (POSCAR):
```
Pr3Cu2Ag4
1.0
5.461 -2.344 0.000
5.461 2.344 0.000
-3.444 0.000 8.140
Pr Cu Ag
3 2 4
direct
0.000 0.000 0.000
0.329 0.329 0.342
0.671 0.671 0.658
0.398 0.398 0.725
0.602 0.602 0.275
0.050 0.050 0.377
0.281 0.281 0.937
0.719 0.719 0.063
0.950 0.950 0.623
```

---

No. 11
Crystalline PrCuAg at its relaxed geometry, computed with PBE-GGA.

E above lowest polymorph in meV/atom: 0.0
Energy of formation from the pure elements in kJ/mol of atoms: -21.79

Structure (POSCAR):
```
PrCuAg
1.0
5.163 -2.112 0.000
5.163 2.112 0.000
-4.259 0.000 6.027
Pr Cu Ag
2 2 2
direct
0.057 0.057 0.301
0.943 0.943 0.699
0.360 0.360 0.329
0.640 0.640 0.671
0.321 0.321 0.911
0.679 0.679 0.089
```

---

No. 12
Crystalline PrCu5Ag at its relaxed geometry, computed with PBE-GGA.

Energy of formation from the pure elements in kJ/mol of atoms: -14.61

Structure (POSCAR):
```
PrCu5Ag
1.0
8.317 0.000 0.000
0.000 5.122 0.000
0.000 0.000 10.447
Pr Cu Ag
4 20 4
direct
0.242 0.250 0.064
0.258 0.750 0.564
0.742 0.250 0.436
0.758 0.750 0.936
0.056 0.750 0.109
0.067 0.001 0.313
0.067 0.499 0.313
0.088 0.250 0.517
0.185 0.250 0.746
0.315 0.750 0.246
0.412 0.750 0.017
0.433 0.501 0.813
0.433 0.999 0.813
0.444 0.250 0.609
0.556 0.750 0.391
0.567 0.001 0.187
0.567 0.499 0.187
0.588 0.250 0.983
0.685 0.250 0.754
0.815 0.750 0.254
0.912 0.750 0.483
0.933 0.501 0.687
0.933 0.999 0.687
0.944 0.250 0.891
0.140 0.750 0.862
0.360 0.250 0.362
0.640 0.750 0.638
0.860 0.250 0.138
```

---

No. 13
Crystalline Pr2CuAg3 at its relaxed geometry, computed with PBE-GGA.

E above lowest polymorph in meV/atom: 0.0
Energy of formation from the pure elements in kJ/mol of atoms: -22.12

Structure (POSCAR):
```
Pr2CuAg3
1.0
3.702 0.000 0.000
0.000 4.716 0.000
0.000 0.000 8.114
Pr Cu Ag
2 1 3
direct
0.000 0.000 0.000
0.000 0.500 0.481
0.500 0.000 0.318
0.500 0.000 0.644
0.500 0.500 0.165
0.500 0.500 0.823
```

---

No. 14
Crystalline Pr2CuAg at its relaxed geometry, computed with PBE-GGA.

E above lowest polymorph in meV/atom: 0.0
Energy of formation from the pure elements in kJ/mol of atoms: -17.57

Structure (POSCAR):
```
Pr2CuAg
1.0
3.697 0.000 0.000
0.000 3.697 0.000
0.000 0.000 7.426
Pr Cu Ag
2 1 1
direct
0.000 0.000 0.235
0.000 0.000 0.765
0.500 0.500 0.000
0.500 0.500 0.500
```

---

No. 15
Crystalline Pr2Cu2Ag3 at its relaxed geometry, computed with PBE-GGA.

Energy of formation from the pure elements in kJ/mol of atoms: -17.59

Structure (POSCAR):
```
Pr2Cu2Ag3
1.0
5.156 -2.065 0.000
5.156 2.065 0.000
-0.968 0.000 7.015
Pr Cu Ag
2 2 3
direct
0.126 0.126 0.326
0.874 0.874 0.674
0.416 0.416 0.353
0.584 0.584 0.647
0.186 0.186 0.867
0.500 0.500 0.000
0.814 0.814 0.133
```

---

No. 16
Crystalline Pr8CuAg2 at its relaxed geometry, computed with PBE-GGA.

Energy of formation from the pure elements in kJ/mol of atoms: -7.06

Structure (POSCAR):
```
Pr8CuAg2
1.0
9.330 -2.679 0.000
9.330 2.679 0.000
-2.172 0.000 6.736
Pr Cu Ag
8 1 2
direct
0.023 0.023 0.284
0.201 0.201 0.824
0.336 0.336 0.510
0.410 0.410 0.043
0.590 0.590 0.957
0.664 0.664 0.490
0.799 0.799 0.176
0.977 0.977 0.716
0.500 0.500 0.500
0.177 0.177 0.231
0.823 0.823 0.769
```

---

No. 17
Crystalline PrCuAg at its relaxed geometry, computed with PBE-GGA.

E above lowest polymorph in meV/atom: 33.1
Energy of formation from the pure elements in kJ/mol of atoms: -18.59

Structure (POSCAR):
```
PrCuAg
1.0
4.577 0.000 0.000
-2.289 3.964 0.000
0.000 0.000 3.730
Pr Cu Ag
1 1 1
direct
0.000 0.000 0.000
0.333 0.667 0.500
0.667 0.333 0.500
```

---

No. 18
Crystalline Pr6CuAg2 at its relaxed geometry, computed with PBE-GGA.

Energy of formation from the pure elements in kJ/mol of atoms: -4.50

Structure (POSCAR):
```
Pr6CuAg2
1.0
6.428 0.000 0.000
0.000 8.056 0.000
-5.992 0.000 10.659
Pr Cu Ag
12 2 4
direct
0.087 0.210 0.442
0.087 0.290 0.942
0.302 0.661 0.451
0.302 0.839 0.951
0.386 0.047 0.242
0.386 0.453 0.742
0.614 0.547 0.258
0.614 0.953 0.758
0.698 0.161 0.049
0.698 0.339 0.549
0.913 0.710 0.058
0.913 0.790 0.558
0.500 0.000 0.500
0.500 0.500 0.000
0.135 0.105 0.729
0.135 0.395 0.229
0.865 0.605 0.771
0.865 0.895 0.271
```

---

No. 19
Crystalline Pr5CuAg4 at its relaxed geometry, computed with PBE-GGA.

Energy of formation from the pure elements in kJ/mol of atoms: -21.01

Structure (POSCAR):
```
Pr5CuAg4
1.0
3.719 0.000 0.000
0.000 3.719 0.000
0.000 0.000 19.147
Pr Cu Ag
5 1 4
direct
0.000 0.000 0.000
0.000 0.000 0.204
0.000 0.000 0.408
0.000 0.000 0.592
0.000 0.000 0.796
0.500 0.500 0.500
0.500 0.500 0.102
0.500 0.500 0.305
0.500 0.500 0.695
0.500 0.500 0.898
```

---

No. 20
Crystalline Pr7Cu2Ag2 at its relaxed geometry, computed with PBE-GGA.

Energy of formation from the pure elements in kJ/mol of atoms: 5.71

Structure (POSCAR):
```
Pr7Cu2Ag2
1.0
3.937 -5.704 0.000
3.937 5.704 0.000
0.000 0.000 7.434
Pr Cu Ag
7 2 2
direct
0.000 0.000 0.000
0.000 0.500 0.270
0.000 0.500 0.730
0.500 0.000 0.270
0.500 0.000 0.730
0.500 0.500 0.249
0.500 0.500 0.751
0.293 0.707 0.000
0.707 0.293 0.000
0.173 0.173 0.500
0.827 0.827 0.500
```

---

No. 21
Crystalline PrCu9Ag2 at its relaxed geometry, computed with PBE-GGA.

Energy of formation from the pure elements in kJ/mol of atoms: -6.66

Structure (POSCAR):
```
PrCu9Ag2
1.0
2.526 1.458 8.039
-2.526 1.458 8.039
0.000 -2.917 8.039
Pr Cu Ag
1 9 2
direct
0.000 0.000 0.000
0.082 0.587 0.587
0.333 0.333 0.333
0.413 0.413 0.918
0.413 0.918 0.413
0.500 0.500 0.500
0.587 0.082 0.587
0.587 0.587 0.082
0.667 0.667 0.667
0.918 0.413 0.413
0.145 0.145 0.145
0.855 0.855 0.855
```

---

No. 22
Crystalline Pr8Cu2Ag at its relaxed geometry, computed with PBE-GGA.

E above lowest polymorph in meV/atom: 91.9
Energy of formation from the pure elements in kJ/mol of atoms: 2.40

Structure (POSCAR):
```
Pr8Cu2Ag
1.0
4.413 -6.894 0.000
4.413 6.894 0.000
-1.706 0.000 5.502
Pr Cu Ag
8 2 1
direct
0.000 0.000 0.000
0.064 0.309 0.603
0.153 0.627 0.190
0.309 0.064 0.603
0.471 0.716 0.778
0.627 0.153 0.190
0.716 0.471 0.778
0.780 0.780 0.381
0.082 0.698 0.690
0.698 0.082 0.690
0.390 0.390 0.191
```

---

No. 23
Crystalline PrCuAg at its relaxed geometry, computed with PBE-GGA.

E above lowest polymorph in meV/atom: 110.1
Energy of formation from the pure elements in kJ/mol of atoms: -11.17

Structure (POSCAR):
```
PrCuAg
1.0
-1.821 1.821 4.926
1.821 -1.821 4.926
1.821 1.821 -4.926
Pr Cu Ag
1 1 1
direct
0.000 0.000 0.000
0.679 0.679 0.000
0.307 0.307 0.000
```